Below is a relaxed CaMg2Cl crystal, with properties calculated at the PBE level.

Unit cell a=8.8497 b=8.8497 c=6.8908 alpha=50.05 beta=50.05 gamma=90.00
Last column: nearest neighbours and their distance in Å.
Positions (direct):
Ca  0.0000  0.0000  0.0000  2 Cl 2.89
Ca  0.7500  0.2500  0.5000  2 Cl 2.89
Mg  0.5793  0.1250  0.2500  2 Cl 2.95, 2 Mg 3.00
Mg  0.1707  0.6250  0.2500  2 Cl 2.95, 2 Mg 3.00
Mg  0.3750  0.4207  0.7500  2 Cl 2.95, 2 Mg 3.00
Mg  0.8750  0.8293  0.7500  2 Cl 2.95, 2 Mg 3.00
Cl  0.5000  0.5000  0.0000  2 Ca 2.89, 4 Mg 2.95
Cl  0.2500  0.7500  0.5000  2 Ca 2.89, 4 Mg 2.95

* energy above the most stable polymorph in this dataset: 0.213 eV per atom
* energy: -2.23 eV per atom
* N(E_F): 0.51 states/eV/atom
* formation energy without anion corrections: -0.4689 eV per atom
* symmetry: I-42d, No. 122